1.
# Fe3BiB GGA-PBE optimized geometry
# Symmetry: Pm-3m
# Distance to the lowest polymorph of the same formula, meV/atom: 0
# Theoretical density, kg/m³: 9791
# D(E_F), states/eV per atom: 0.923
# Electronic total energy, eV per atom: -6.952
# Formation energy from the elements, meV/atom: 237
# Crystal system: cubic
data_Fe3BiB
_chemical_formula_sum 'Fe3 Bi1 B1'
_space_group_name_H-M_alt 'P 1'
_space_group_IT_number 1
_cell_length_a 4.035
_cell_length_b 4.035
_cell_length_c 4.035
_cell_angle_alpha 90.00
_cell_angle_beta 90.00
_cell_angle_gamma 90.00
loop_
_space_group_symop_operation_xyz
'x,y,z'
loop_
_atom_site_label
_atom_site_type_symbol
_atom_site_fract_x
_atom_site_fract_y
_atom_site_fract_z
_atom_site_occupancy
Fe1 Fe 0.000 0.000 0.500 1
Fe2 Fe 0.000 0.500 0.000 1
Fe3 Fe 0.500 0.000 0.000 1
Bi1 Bi 0.500 0.500 0.500 1
B1 B 0.000 0.000 0.000 1

2.
# MgIn6Ag12 GGA-PBE optimized geometry
# Symmetry: R-3
# Theoretical density, kg/m³: 8445
# D(E_F), states/eV per atom: 0.349
# Electronic total energy, eV per atom: -2.758
# Formation energy from the elements, meV/atom: -9
# Crystal system: trigonal
data_MgIn6Ag12
_chemical_formula_sum 'Mg1 In6 Ag12'
_space_group_name_H-M_alt 'P 1'
_space_group_IT_number 1
_cell_length_a 7.783
_cell_length_b 7.783
_cell_length_c 7.783
_cell_angle_alpha 106.80
_cell_angle_beta 106.80
_cell_angle_gamma 106.80
loop_
_space_group_symop_operation_xyz
'x,y,z'
loop_
_atom_site_label
_atom_site_type_symbol
_atom_site_fract_x
_atom_site_fract_y
_atom_site_fract_z
_atom_site_occupancy
Mg1 Mg 0.000 0.000 0.000 1
In1 In 0.230 0.361 0.655 1
In2 In 0.345 0.770 0.639 1
In3 In 0.361 0.655 0.230 1
In4 In 0.639 0.345 0.770 1
In5 In 0.655 0.230 0.361 1
In6 In 0.770 0.639 0.345 1
Ag1 Ag 0.018 0.320 0.899 1
Ag2 Ag 0.039 0.405 0.301 1
Ag3 Ag 0.101 0.982 0.680 1
Ag4 Ag 0.301 0.039 0.405 1
Ag5 Ag 0.320 0.899 0.018 1
Ag6 Ag 0.405 0.301 0.039 1
Ag7 Ag 0.595 0.699 0.961 1
Ag8 Ag 0.680 0.101 0.982 1
Ag9 Ag 0.699 0.961 0.595 1
Ag10 Ag 0.899 0.018 0.320 1
Ag11 Ag 0.961 0.595 0.699 1
Ag12 Ag 0.982 0.680 0.101 1

3.
# K2ThTlBr8 GGA-PBE optimized geometry
# Symmetry: P-1
# ΔE_f (raw), meV per atom: -1412
# Theoretical density, kg/m³: 3776
# D(E_F), states/eV per atom: 0.132
# Electronic total energy, eV per atom: -3.525
# Crystal system: triclinic
data_K2ThTlBr8
_chemical_formula_sum 'K2 Th1 Tl1 Br8'
_space_group_name_H-M_alt 'P 1'
_space_group_IT_number 1
_cell_length_a 6.441
_cell_length_b 7.823
_cell_length_c 10.070
_cell_angle_alpha 89.93
_cell_angle_beta 89.79
_cell_angle_gamma 89.68
loop_
_space_group_symop_operation_xyz
'x,y,z'
loop_
_atom_site_label
_atom_site_type_symbol
_atom_site_fract_x
_atom_site_fract_y
_atom_site_fract_z
_atom_site_occupancy
K1 K 0.002 0.000 0.229 1
K2 K 0.998 0.000 0.771 1
Th1 Th 0.500 0.500 0.000 1
Tl1 Tl 0.500 0.500 0.500 1
Br1 Br 0.253 0.371 0.214 1
Br2 Br 0.255 0.369 0.788 1
Br3 Br 0.271 0.979 0.500 1
Br4 Br 0.278 0.815 0.999 1
Br5 Br 0.722 0.185 0.001 1
Br6 Br 0.729 0.021 0.500 1
Br7 Br 0.745 0.631 0.212 1
Br8 Br 0.747 0.629 0.786 1

4.
# DyPuAgPd GGA-PBE optimized geometry
# Symmetry: F-43m
# Theoretical density, kg/m³: 11153
# D(E_F), states/eV per atom: 3.065
# Electronic total energy, eV per atom: -7.064
# Formation energy from the elements, meV/atom: -319
# Crystal system: cubic
data_DyPuAgPd
_chemical_formula_sum 'Dy1 Pu1 Ag1 Pd1'
_space_group_name_H-M_alt 'P 1'
_space_group_IT_number 1
_cell_length_a 5.075
_cell_length_b 5.075
_cell_length_c 5.075
_cell_angle_alpha 60.00
_cell_angle_beta 60.00
_cell_angle_gamma 60.00
loop_
_space_group_symop_operation_xyz
'x,y,z'
loop_
_atom_site_label
_atom_site_type_symbol
_atom_site_fract_x
_atom_site_fract_y
_atom_site_fract_z
_atom_site_occupancy
Dy1 Dy 0.000 0.000 0.000 1
Pu1 Pu 0.500 0.500 0.500 1
Ag1 Ag 0.750 0.750 0.750 1
Pd1 Pd 0.250 0.250 0.250 1

5.
# Ca2SbPb GGA-PBE optimized geometry
# Symmetry: Pmmm
# ΔE_f (raw), meV per atom: -687
# Distance to the lowest polymorph of the same formula, meV/atom: 0
# Theoretical density, kg/m³: 5710
# D(E_F), states/eV per atom: 0.193
# Electronic total energy, eV per atom: -3.645
# Crystal system: orthorhombic
data_Ca2SbPb
_chemical_formula_sum 'Ca2 Sb1 Pb1'
_space_group_name_H-M_alt 'P 1'
_space_group_IT_number 1
_cell_length_a 3.869
_cell_length_b 4.269
_cell_length_c 7.203
_cell_angle_alpha 90.00
_cell_angle_beta 90.00
_cell_angle_gamma 90.00
loop_
_space_group_symop_operation_xyz
'x,y,z'
loop_
_atom_site_label
_atom_site_type_symbol
_atom_site_fract_x
_atom_site_fract_y
_atom_site_fract_z
_atom_site_occupancy
Ca1 Ca 0.000 0.000 0.238 1
Ca2 Ca 0.000 0.000 0.762 1
Sb1 Sb 0.500 0.500 0.000 1
Pb1 Pb 0.500 0.500 0.500 1

6.
# MnSiSnIrS GGA-PBE optimized geometry
# Symmetry: Cm
# ΔE_f (raw), meV per atom: -153
# Distance to the lowest polymorph of the same formula, meV/atom: 205
# Theoretical density, kg/m³: 8643
# D(E_F), states/eV per atom: 0.428
# Electronic total energy, eV per atom: -6.470
# Crystal system: monoclinic
data_MnSiSnIrS
_chemical_formula_sum 'Mn1 Si1 Sn1 Ir1 S1'
_space_group_name_H-M_alt 'P 1'
_space_group_IT_number 1
_cell_length_a 5.918
_cell_length_b 5.918
_cell_length_c 5.084
_cell_angle_alpha 109.21
_cell_angle_beta 109.21
_cell_angle_gamma 29.26
loop_
_space_group_symop_operation_xyz
'x,y,z'
loop_
_atom_site_label
_atom_site_type_symbol
_atom_site_fract_x
_atom_site_fract_y
_atom_site_fract_z
_atom_site_occupancy
Mn1 Mn 0.000 0.000 0.000 1
Si1 Si 0.615 0.615 0.792 1
Sn1 Sn 0.830 0.830 0.473 1
Ir1 Ir 0.289 0.289 0.965 1
S1 S 0.581 0.581 0.333 1

7.
# CsScB3 GGA-PBE optimized geometry
# Symmetry: Pm-3m
# Distance to the lowest polymorph of the same formula, meV/atom: 1097
# Theoretical density, kg/m³: 3502
# D(E_F), states/eV per atom: 1.166
# Electronic total energy, eV per atom: -2.530
# Formation energy from the elements, meV/atom: 2914
# Crystal system: cubic
data_CsScB3
_chemical_formula_sum 'Cs1 Sc1 B3'
_space_group_name_H-M_alt 'P 1'
_space_group_IT_number 1
_cell_length_a 4.637
_cell_length_b 4.637
_cell_length_c 4.637
_cell_angle_alpha 90.00
_cell_angle_beta 90.00
_cell_angle_gamma 90.00
loop_
_space_group_symop_operation_xyz
'x,y,z'
loop_
_atom_site_label
_atom_site_type_symbol
_atom_site_fract_x
_atom_site_fract_y
_atom_site_fract_z
_atom_site_occupancy
Cs1 Cs 0.000 0.000 0.000 1
Sc1 Sc 0.500 0.500 0.500 1
B1 B 0.000 0.000 0.500 1
B2 B 0.000 0.500 0.000 1
B3 B 0.500 0.000 0.000 1

8.
# CaTl3Pb GGA-PBE optimized geometry
# Symmetry: Pnma
# Distance to the lowest polymorph of the same formula, meV/atom: 0
# Theoretical density, kg/m³: 9247
# D(E_F), states/eV per atom: 0.486
# Electronic total energy, eV per atom: -2.691
# Formation energy from the elements, meV/atom: -129
# Crystal system: orthorhombic
data_CaTl3Pb
_chemical_formula_sum 'Ca4 Tl12 Pb4'
_space_group_name_H-M_alt 'P 1'
_space_group_IT_number 1
_cell_length_a 8.691
_cell_length_b 7.693
_cell_length_c 9.244
_cell_angle_alpha 90.00
_cell_angle_beta 90.00
_cell_angle_gamma 90.00
loop_
_space_group_symop_operation_xyz
'x,y,z'
loop_
_atom_site_label
_atom_site_type_symbol
_atom_site_fract_x
_atom_site_fract_y
_atom_site_fract_z
_atom_site_occupancy
Ca1 Ca 0.148 0.250 0.188 1
Ca2 Ca 0.352 0.750 0.688 1
Ca3 Ca 0.648 0.250 0.312 1
Ca4 Ca 0.852 0.750 0.812 1
Tl1 Tl 0.137 0.043 0.853 1
Tl2 Tl 0.137 0.457 0.853 1
Tl3 Tl 0.191 0.750 0.097 1
Tl4 Tl 0.309 0.250 0.597 1
Tl5 Tl 0.363 0.543 0.353 1
Tl6 Tl 0.363 0.957 0.353 1
Tl7 Tl 0.637 0.043 0.647 1
Tl8 Tl 0.637 0.457 0.647 1
Tl9 Tl 0.691 0.750 0.403 1
Tl10 Tl 0.809 0.250 0.903 1
Tl11 Tl 0.863 0.543 0.147 1
Tl12 Tl 0.863 0.957 0.147 1
Pb1 Pb 0.000 0.000 0.500 1
Pb2 Pb 0.000 0.500 0.500 1
Pb3 Pb 0.500 0.000 0.000 1
Pb4 Pb 0.500 0.500 0.000 1

Q: Which of these has the lowest D(E_F)?
A: K2ThTlBr8

Q: Among the records above, which one has the lowest theoretical density?
A: CsScB3